# 1
Compound: Tb6Te3PRh2
Source: Alexandria
Functional: GGA-PBE
Structure: relaxed

It has space group C2/m (No. 12), with a = 7.2026 Å, b = 12.4808 Å, c = 7.5653 Å, α = 90.00°, β = 108.71° and γ = 90.00°. Symmetry generates all atoms from Tb at (0.2345, 0.0000, 0.2097), Tb at (0.2372, 0.3317, 0.2095), Te at (0.0000, 0.0000, 0.5000), Te at (0.0000, 0.3348, 0.5000), P at (0.0000, 0.5000, 0.0000) and Rh at (0.0000, 0.1668, 0.0000).

The formation energy from raw total energies comes out at -14.185 eV per formula unit.

***

# 2
Compound: TbTh2P3Rh12
Source: Alexandria
Functional: GGA-PBE
Structure: relaxed

It has space group R-3m (No. 166, hexagonal axes), with a = 8.9819 Å, b = 8.9819 Å, c = 13.1853 Å, α = 90.00°, β = 90.00° and γ = 120.00°. Symmetry generates all atoms from Tb at (0.0000, 0.0000, 0.0000), Th at (0.0000, 0.0000, 0.3726), P at (0.0000, 0.5000, 0.5000), Rh at (0.0145, 0.5072, 0.3285) and Rh at (0.0318, 0.5159, 0.8765).

The value obtained for the calculated formation energy is -0.460 eV/atom.

***

# 3
Compound: TbTh2P2Rh7
Source: Alexandria
Functional: GGA-PBE
Structure: relaxed

It has space group C2/m (No. 12), with a = 5.7156 Å, b = 5.6743 Å, c = 13.4329 Å, α = 90.00°, β = 98.20° and γ = 90.00°. Symmetry generates all atoms from Tb at (0.0000, 0.0000, 0.0000), Th at (0.1093, 0.0000, 0.3486), P at (0.0838, 0.5000, 0.2490), Rh at (0.0000, 0.5000, 0.0000), Rh at (0.1310, 0.5000, 0.4230) and Rh at (0.1955, 0.2503, 0.8368).

The value obtained for the calculated formation energy is -0.974 eV/atom.

***

# 4
Compound: Tb2ThP3Rh12
Source: Alexandria
Functional: GGA-PBE
Structure: relaxed

It has space group R-3m (No. 166, hexagonal axes), with a = 8.9881 Å, b = 8.9881 Å, c = 12.9159 Å, α = 90.00°, β = 90.00° and γ = 120.00°. Symmetry generates all atoms from Tb at (0.0000, 0.0000, 0.1264), Th at (0.0000, 0.0000, 0.5000), P at (0.0000, 0.5000, 0.0000), Rh at (0.0131, 0.5065, 0.8261) and Rh at (0.0281, 0.5140, 0.3817).

The value obtained for the calculated formation energy is -0.438 eV/atom.

***

Short version: DFT total energy = -71.50; -132.20; -93.43; -129.01 eV per formula unit, in the order given.